4
Lattice="5.260 0.000 0.000 2.630 4.555 0.000 2.630 1.518 4.295" Properties=species:S:1:pos:R:3 comment="SbTe2As | the Alexandria database | PBE | optimized geometry" energy_ev_per_cell=-13.61 formation_energy_uncorrected_mev_per_atom=361 pbc="T T T"
Sb 7.890 4.555 3.221
As 5.260 3.037 2.147
Te 0.000 0.000 0.000
Te 2.630 1.518 1.074

***

12
Lattice="6.204 0.000 0.006 -3.101 5.374 0.006 -1.044 -1.808 11.673" Properties=species:S:1:pos:R:3 comment="Tb6Nd3YTm2 | the Alexandria database | PBE | optimized geometry" energy_ev_per_cell=-57.26 formation_enthalpy_0k_ev_per_fu=0.23 pbc="T T T"
Tb 3.098 1.770 8.817
Tb 2.065 3.576 2.875
Tb -1.038 1.796 2.869
Tb -0.015 3.568 8.817
Tb -0.005 -0.009 8.811
Tb 2.074 -0.001 2.869
Nd -2.070 3.574 5.843
Nd 4.130 -0.007 5.843
Nd 1.030 1.783 5.843
Y 0.000 0.000 0.000
Tm 0.001 3.583 0.006
Tm 3.103 1.791 0.006

***

12
Lattice="3.735 0.000 0.000 0.000 4.263 0.001 0.000 -0.004 17.832" Properties=species:S:1:pos:R:3 comment="Sb2Pd3Pb | the Alexandria database | PBE | optimized geometry" energy_ev_per_cell=-58.05 formation_energy_uncorrected_mev_per_atom=-249 pbc="T T T"
Sb 0.934 3.194 16.029
Sb 2.801 1.066 1.804
Sb 2.801 1.065 7.113
Sb 0.934 3.195 10.720
Pd 2.801 1.068 4.458
Pd 0.934 3.192 13.375
Pd 2.801 3.197 0.131
Pd 0.934 1.062 17.702
Pd 0.934 1.064 9.047
Pd 2.801 3.196 8.786
Pb 0.934 3.199 4.459
Pb 2.801 1.060 13.375

***

15
Lattice="8.110 0.001 -0.001 -4.054 7.022 -0.023 -0.002 -4.655 7.360" Properties=species:S:1:pos:R:3 comment="Pm8Co3SBr3 | the Alexandria database | PBE | optimized geometry" energy_ev_per_cell=-80.18 formation_energy_uncorrected_mev_per_atom=-781 pbc="T T T"
Pm 0.001 2.349 2.224
Pm 4.054 0.019 5.113
Pm 4.055 2.219 2.171
Pm -0.001 0.149 5.165
Pm 5.969 -1.097 2.184
Pm -1.914 3.465 5.152
Pm 2.141 -1.097 2.186
Pm 1.914 3.465 5.150
Co 4.054 -2.327 3.680
Co 2.027 1.184 3.668
Co -2.028 1.183 3.669
S -0.001 -2.328 3.680
Br 0.000 0.000 0.000
Br -2.027 3.511 -0.012
Br 2.028 3.512 -0.012

***

12
Lattice="5.324 0.001 -1.315 -0.700 7.708 -2.829 -0.152 -0.461 10.782" Properties=species:S:1:pos:R:3 comment="CsTl4Pt | the Alexandria database | PBE | optimized geometry" energy_ev_per_cell=-34.22 formation_enthalpy_0k_ev_per_fu=-0.75 pbc="T T T"
Cs 0.882 1.390 3.569
Cs 3.589 5.857 3.069
Tl 4.230 2.458 5.649
Tl 2.896 2.737 0.291
Tl -0.132 1.458 -0.535
Tl 1.900 0.945 7.656
Tl 0.242 4.790 0.989
Tl 1.576 4.511 6.347
Tl -0.568 6.250 -2.294
Tl 2.572 6.303 -1.018
Pt 3.477 3.392 8.382
Pt 0.995 3.855 -1.744

***

5
Lattice="-1.843 -5.364 -2.691 2.984 1.623 -5.279 3.859 -2.096 1.537" Properties=species:S:1:pos:R:3 comment="Ba2AsIrI | the Alexandria database | PBE | optimized geometry" energy_ev_per_cell=-23.45 formation_energy_uncorrected_mev_per_atom=-908 pbc="T T T"
I 2.500 -2.919 -3.217
As 1.929 -1.048 0.768
Ir 0.000 0.000 0.000
Ba 1.492 0.811 -2.640
Ba -0.921 -2.682 -1.345

***

8
Lattice="-3.756 -1.290 0.309 1.141 -1.728 6.661 -1.546 5.475 4.071" Properties=species:S:1:pos:R:3 comment="DyHo2ScSe4 | the Alexandria database | PBE | optimized geometry" energy_ev_per_cell=-47.51 formation_energy_uncorrected_mev_per_atom=-1686 pbc="T T T"
Dy -0.202 1.874 5.366
Ho -1.546 5.475 4.071
Ho -2.651 2.092 2.190
Sc -1.308 -1.509 3.485
Se -0.327 2.875 8.033
Se -3.834 -0.418 3.008
Se -1.404 -0.597 6.124
Se -2.757 3.054 4.917

***

3
Lattice="4.380 -0.694 1.292 2.362 3.969 0.059 -4.050 -1.271 1.822" Properties=species:S:1:pos:R:3 comment="Si2Au | the Alexandria database | PBE | optimized geometry" energy_ev_per_cell=-12.81 formation_energy_uncorrected_mev_per_atom=438 pbc="T T T"
Si 1.113 0.541 0.223
Si 5.629 2.735 1.129
Au 3.371 1.638 0.676